{"formula": "MoAsRu", "functional": "GGA-PBE", "state": "optimized geometry", "formation_energy_ev_per_atom": -0.052, "space_group": "No. 8", "crystal_system": "monoclinic", "n_ef_per_ev_cell": 7.63, "lattice_angstrom": [[6.8512, 0.0000, -0.0160], [0.0000, 3.0464, 0.0000], [-0.9836, 0.0000, 9.0766]], "species": ["Ru", "Ru", "Ru", "Ru", "Mo", "Mo", "Mo", "Mo", "As", "As", "As", "As"], "fractional_positions": [[0.9298, 0.0000, 0.7458], [0.9298, 0.5000, 0.2458], [0.2557, 0.0000, 0.2166], [0.2557, 0.5000, 0.7166], [0.0357, 0.0000, 0.4820], [0.0357, 0.5000, 0.9820], [0.7257, 0.0000, 0.0202], [0.7257, 0.5000, 0.5202], [0.3406, 0.0000, 0.9437], [0.3406, 0.5000, 0.4437], [0.6385, 0.0000, 0.2902], [0.6385, 0.5000, 0.7902]]}